No. 1
Below is a relaxed LiAg2Sb crystal, with properties calculated at the PBEsol level.

N(E_F) = 0.244 states/eV per atom
VASP energy = -13.9 eV per formula unit
formation energy from raw total energies = -0.7 eV per formula unit

a = 9.459 Å, b = 3.095 Å, c = 5.025 Å
α = 90.00°, β = 97.97°, γ = 90.00°
Space group C2/m (No. 12)
Inequivalent atoms, fractional coordinates:
Li: 0.000 0.000 0.000 (multiplicity 2)
Ag: 0.249 0.500 0.236 (multiplicity 4)
Sb: 0.000 0.500 0.500 (multiplicity 2)

No. 2
Below is a relaxed LiAgSb crystal, with properties calculated at the PBEsol level.

N(E_F) = 0.141 states/eV per atom
VASP energy = -10.7 eV per formula unit
formation energy from raw total energies = -0.8 eV per formula unit

a = 3.347 Å, b = 4.125 Å, c = 8.271 Å
α = 90.00°, β = 90.00°, γ = 90.00°
Space group Imm2 (No. 44)
Inequivalent atoms, fractional coordinates:
Li: 0.000 0.000 0.000 (multiplicity 2)
Ag: 0.000 0.000 0.333 (multiplicity 2)
Sb: 0.000 0.000 0.670 (multiplicity 2)

No. 3
Below is a relaxed Li2ScAg crystal, with properties calculated at the PBEsol level.

calculated formation energy = -0.047 eV per atom
energy above the lowest structure with this stoichiometry = 0.023 eV/atom
N(E_F) = 0.720 states/eV per atom
VASP energy = -14.0 eV per formula unit

a = 10.290 Å, b = 3.122 Å, c = 4.812 Å
α = 90.00°, β = 107.24°, γ = 90.00°
Space group C2/m (No. 12)
Inequivalent atoms, fractional coordinates:
Li: 0.227 0.000 0.217 (multiplicity 4)
Sc: 0.000 0.000 0.500 (multiplicity 2)
Ag: 0.000 0.500 0.000 (multiplicity 2)

No. 4
Below is a relaxed LiScAg crystal, with properties calculated at the PBEsol level.

calculated formation energy = -0.139 eV per atom
N(E_F) = 0.505 states/eV per atom
VASP energy = -12.3 eV per formula unit

a = 3.444 Å, b = 3.444 Å, c = 9.051 Å
α = 90.00°, β = 90.00°, γ = 90.00°
Space group I4mm (No. 107)
Inequivalent atoms, fractional coordinates:
Li: 0.000 0.000 0.000 (multiplicity 2)
Sc: 0.000 0.000 0.313 (multiplicity 2)
Ag: 0.000 0.000 0.645 (multiplicity 2)

No. 5
Below is a relaxed LiSc2Ag2 crystal, with properties calculated at the PBEsol level.

calculated formation energy = -0.149 eV per atom
N(E_F) = 0.864 states/eV per atom
VASP energy = -22.5 eV per formula unit

a = 7.791 Å, b = 7.791 Å, c = 3.322 Å
α = 90.00°, β = 90.00°, γ = 90.00°
Space group P4/mbm (No. 127)
Inequivalent atoms, fractional coordinates:
Li: 0.000 0.000 0.000 (multiplicity 2)
Sc: 0.162 0.338 0.500 (multiplicity 4)
Ag: 0.133 0.633 0.000 (multiplicity 4)

No. 6
Below is a relaxed Li2ScAg crystal, with properties calculated at the PBEsol level.

calculated formation energy = -0.002 eV per atom
energy above the lowest structure with this stoichiometry = 0.068 eV/atom
N(E_F) = 0.728 states/eV per atom
VASP energy = -13.9 eV per formula unit

a = 3.188 Å, b = 4.677 Å, c = 5.018 Å
α = 90.00°, β = 90.00°, γ = 90.00°
Space group Pmmm (No. 47)
Inequivalent atoms, fractional coordinates:
Li: 0.000 0.000 0.000 (multiplicity 1)
Li: 0.500 0.500 0.000 (multiplicity 1)
Sc: 0.000 0.500 0.500 (multiplicity 1)
Ag: 0.500 0.000 0.500 (multiplicity 1)

No. 7
Below is a relaxed Li2ScAg crystal, with properties calculated at the PBEsol level.

calculated formation energy = -0.070 eV per atom
energy above the lowest structure with this stoichiometry = 0.000 eV/atom
N(E_F) = 0.612 states/eV per atom
VASP energy = -14.1 eV per formula unit

a = 3.337 Å, b = 3.337 Å, c = 6.698 Å
α = 90.00°, β = 90.00°, γ = 90.00°
Space group P4mm (No. 99)
Inequivalent atoms, fractional coordinates:
Li: 0.000 0.000 0.000 (multiplicity 1)
Li: 0.500 0.500 0.225 (multiplicity 1)
Sc: 0.000 0.000 0.546 (multiplicity 1)
Ag: 0.500 0.500 0.785 (multiplicity 1)

No. 8
Below is a relaxed Li2ScAg crystal, with properties calculated at the PBEsol level.

calculated formation energy = 0.051 eV per atom
energy above the lowest structure with this stoichiometry = 0.121 eV/atom
N(E_F) = 0.709 states/eV per atom
VASP energy = -13.6 eV per formula unit

a = 2.9949 Å, b = 2.9949 Å, c = 28.6426 Å
α = 90.00°, β = 90.00°, γ = 120.00°
Space group R-3m (No. 166, hexagonal axes)
Inequivalent atoms, fractional coordinates:
Li: 0.0000 0.0000 0.2407 (multiplicity 6)
Sc: 0.0000 0.0000 0.0000 (multiplicity 3)
Ag: 0.0000 0.0000 0.5000 (multiplicity 3)

No. 9
Below is a relaxed LiScAg4 crystal, with properties calculated at the PBEsol level.

calculated formation energy = -0.093 eV per atom
N(E_F) = 0.751 states/eV per atom
VASP energy = -22.4 eV per formula unit

a = 7.629 Å, b = 7.629 Å, c = 7.629 Å
α = 90.00°, β = 90.00°, γ = 90.00°
Space group F-43m (No. 216)
Inequivalent atoms, fractional coordinates:
Li: 0.000 0.000 0.000 (multiplicity 4)
Sc: 0.250 0.250 0.250 (multiplicity 4)
Ag: 0.125 0.125 0.625 (multiplicity 16)

No. 10
Below is a relaxed LiAg2Se crystal, with properties calculated at the PBEsol level.

N(E_F) = 0.263 states/eV per atom
VASP energy = -13.3 eV per formula unit
formation energy from raw total energies = -0.9 eV per formula unit

a = 3.886 Å, b = 3.886 Å, c = 19.053 Å
α = 90.00°, β = 90.00°, γ = 90.00°
Space group I-42d (No. 122)
Inequivalent atoms, fractional coordinates:
Li: 0.000 0.000 0.000 (multiplicity 4)
Ag: 0.246 0.250 0.625 (multiplicity 8)
Se: 0.000 0.000 0.500 (multiplicity 4)

No. 11
Below is a relaxed LiAg2Se crystal, with properties calculated at the PBEsol level.

N(E_F) = 0.257 states/eV per atom
VASP energy = -13.7 eV per formula unit
formation energy from raw total energies = -1.2 eV per formula unit

a = 3.937 Å, b = 3.937 Å, c = 8.716 Å
α = 90.00°, β = 90.00°, γ = 90.00°
Space group I4/mmm (No. 139)
Inequivalent atoms, fractional coordinates:
Li: 0.000 0.000 0.000 (multiplicity 2)
Ag: 0.000 0.500 0.250 (multiplicity 4)
Se: 0.000 0.000 0.500 (multiplicity 2)

No. 12
Below is a relaxed Li2AgSe crystal, with properties calculated at the PBEsol level.

N(E_F) = 0.327 states/eV per atom
VASP energy = -13.1 eV per formula unit
formation energy from raw total energies = -2.0 eV per formula unit

a = 2.921 Å, b = 4.589 Å, c = 4.795 Å
α = 90.00°, β = 90.00°, γ = 90.00°
Space group Pmm2 (No. 25)
Inequivalent atoms, fractional coordinates:
Li: 0.000 0.000 0.000 (multiplicity 1)
Li: 0.000 0.500 0.395 (multiplicity 1)
Ag: 0.500 0.000 0.499 (multiplicity 1)
Se: 0.500 0.500 0.898 (multiplicity 1)

No. 13
Below is a relaxed Li2AgSe crystal, with properties calculated at the PBEsol level.

N(E_F) = 0.261 states/eV per atom
VASP energy = -13.2 eV per formula unit
formation energy from raw total energies = -2.1 eV per formula unit

a = 2.899 Å, b = 3.590 Å, c = 6.196 Å
α = 90.00°, β = 90.00°, γ = 90.00°
Space group Pmmm (No. 47)
Inequivalent atoms, fractional coordinates:
Li: 0.000 0.000 0.226 (multiplicity 2)
Ag: 0.500 0.500 0.500 (multiplicity 1)
Se: 0.500 0.500 0.000 (multiplicity 1)

No. 14
Below is a relaxed LiAg2Se crystal, with properties calculated at the PBEsol level.

N(E_F) = 0.254 states/eV per atom
VASP energy = -13.5 eV per formula unit
formation energy from raw total energies = -1.1 eV per formula unit

a = 2.935 Å, b = 3.804 Å, c = 6.062 Å
α = 90.00°, β = 90.00°, γ = 90.00°
Space group Pmm2 (No. 25)
Inequivalent atoms, fractional coordinates:
Li: 0.000 0.000 0.000 (multiplicity 1)
Ag: 0.000 0.000 0.499 (multiplicity 1)
Ag: 0.500 0.500 0.741 (multiplicity 1)
Se: 0.500 0.500 0.191 (multiplicity 1)

No. 15
Below is a relaxed LiAg2Se crystal, with properties calculated at the PBEsol level.

N(E_F) = 0.223 states/eV per atom
VASP energy = -13.6 eV per formula unit
formation energy from raw total energies = -1.1 eV per formula unit

a = 2.954 Å, b = 3.828 Å, c = 6.295 Å
α = 90.00°, β = 103.39°, γ = 90.00°
Space group Pm (No. 6)
Inequivalent atoms, fractional coordinates:
Li: 0.000 0.000 0.000 (multiplicity 1)
Ag: 0.364 0.500 0.727 (multiplicity 1)
Ag: 0.748 0.000 0.494 (multiplicity 1)
Se: 0.582 0.500 0.167 (multiplicity 1)

No. 16
Below is a relaxed LiSi3Ag crystal, with properties calculated at the PBEsol level.

N(E_F) = 0.342 states/eV per atom
VASP energy = -18.5 eV per formula unit
formation energy from raw total energies = 4.0 eV per formula unit

a = 4.357 Å, b = 4.357 Å, c = 4.357 Å
α = 90.00°, β = 90.00°, γ = 90.00°
Space group Pm-3m (No. 221)
Inequivalent atoms, fractional coordinates:
Li: 0.000 0.000 0.000 (multiplicity 1)
Si: 0.000 0.000 0.500 (multiplicity 3)
Ag: 0.500 0.500 0.500 (multiplicity 1)

No. 17
Below is a relaxed LiSiAg2 crystal, with properties calculated at the PBEsol level.

N(E_F) = 0.270 states/eV per atom
VASP energy = -14.7 eV per formula unit
formation energy from raw total energies = -0.3 eV per formula unit

a = 2.807 Å, b = 4.360 Å, c = 5.235 Å
α = 90.00°, β = 104.72°, γ = 90.00°
Space group Pm (No. 6)
Inequivalent atoms, fractional coordinates:
Li: 0.000 0.000 0.000 (multiplicity 1)
Si: 0.604 0.500 0.221 (multiplicity 1)
Ag: 0.349 0.500 0.717 (multiplicity 1)
Ag: 0.730 0.000 0.470 (multiplicity 1)

No. 18
Below is a relaxed LiSiAg2 crystal, with properties calculated at the PBEsol level.

N(E_F) = 0.346 states/eV per atom
VASP energy = -14.7 eV per formula unit
formation energy from raw total energies = -0.4 eV per formula unit

a = 4.141 Å, b = 4.141 Å, c = 3.489 Å
α = 90.00°, β = 90.00°, γ = 90.00°
Space group P4/mmm (No. 123)
Inequivalent atoms, fractional coordinates:
Li: 0.000 0.000 0.000 (multiplicity 1)
Si: 0.500 0.500 0.000 (multiplicity 1)
Ag: 0.000 0.500 0.500 (multiplicity 2)

No. 19
Below is a relaxed LiSiAg2 crystal, with properties calculated at the PBEsol level.

N(E_F) = 0.275 states/eV per atom
VASP energy = -14.7 eV per formula unit
formation energy from raw total energies = -0.3 eV per formula unit

a = 3.879 Å, b = 3.879 Å, c = 7.989 Å
α = 90.00°, β = 90.00°, γ = 90.00°
Space group I-4m2 (No. 119)
Inequivalent atoms, fractional coordinates:
Li: 0.000 0.000 0.000 (multiplicity 2)
Si: 0.000 0.500 0.250 (multiplicity 2)
Ag: 0.000 0.000 0.500 (multiplicity 2)
Ag: 0.000 0.500 0.750 (multiplicity 2)

No. 20
Below is a relaxed Li3SiAg crystal, with properties calculated at the PBEsol level.

N(E_F) = 0.778 states/eV per atom
VASP energy = -13.3 eV per formula unit
formation energy from raw total energies = 1.7 eV per formula unit

a = 4.669 Å, b = 4.669 Å, c = 4.669 Å
α = 90.00°, β = 90.00°, γ = 90.00°
Space group Pm-3m (No. 221)
Inequivalent atoms, fractional coordinates:
Li: 0.000 0.000 0.500 (multiplicity 3)
Si: 0.000 0.000 0.000 (multiplicity 1)
Ag: 0.500 0.500 0.500 (multiplicity 1)

No. 21
Below is a relaxed Li3AgSn crystal, with properties calculated at the PBEsol level.

calculated formation energy = 0.072 eV per atom
energy above the lowest structure with this stoichiometry = 0.000 eV/atom
N(E_F) = 0.374 states/eV per atom
VASP energy = -13.1 eV per formula unit

a = 4.709 Å, b = 4.709 Å, c = 4.709 Å
α = 90.00°, β = 90.00°, γ = 90.00°
Space group Pm-3m (No. 221)
Inequivalent atoms, fractional coordinates:
Li: 0.000 0.000 0.500 (multiplicity 3)
Ag: 0.000 0.000 0.000 (multiplicity 1)
Sn: 0.500 0.500 0.500 (multiplicity 1)

No. 22
Below is a relaxed Li2AgSn2 crystal, with properties calculated at the PBEsol level.

calculated formation energy = -0.335 eV per atom
N(E_F) = 0.289 states/eV per atom
VASP energy = -17.4 eV per formula unit

a = 4.551 Å, b = 4.551 Å, c = 19.819 Å
α = 90.00°, β = 90.00°, γ = 90.00°
Space group I4_1/amd (No. 141, origin choice 2)
Inequivalent atoms, fractional coordinates:
Li: 0.000 0.250 0.049 (multiplicity 8)
Ag: 0.000 0.250 0.875 (multiplicity 4)
Sn: 0.000 0.250 0.203 (multiplicity 8)

No. 23
Below is a relaxed SrLiAg2 crystal, with properties calculated at the PBEsol level.

calculated formation energy = -0.098 eV per atom
energy above the lowest structure with this stoichiometry = 0.121 eV/atom
N(E_F) = 0.428 states/eV per atom
VASP energy = -10.8 eV per formula unit

a = 4.197 Å, b = 4.697 Å, c = 8.942 Å
α = 90.00°, β = 90.00°, γ = 90.00°
Space group Imm2 (No. 44)
Inequivalent atoms, fractional coordinates:
Sr: 0.000 0.000 0.000 (multiplicity 2)
Li: 0.000 0.500 0.232 (multiplicity 2)
Ag: 0.000 0.000 0.498 (multiplicity 2)
Ag: 0.000 0.500 0.763 (multiplicity 2)

No. 24
Below is a relaxed Sr2LiAg crystal, with properties calculated at the PBEsol level.

calculated formation energy = -0.085 eV per atom
energy above the lowest structure with this stoichiometry = 0.048 eV/atom
N(E_F) = 0.978 states/eV per atom
VASP energy = -9.3 eV per formula unit

a = 7.911 Å, b = 7.911 Å, c = 7.911 Å
α = 90.00°, β = 90.00°, γ = 90.00°
Space group Fm-3m (No. 225)
Inequivalent atoms, fractional coordinates:
Sr: 0.250 0.250 0.250 (multiplicity 8)
Li: 0.000 0.000 0.000 (multiplicity 4)
Ag: 0.000 0.000 0.500 (multiplicity 4)

No. 25
Below is a relaxed SrLiAg2 crystal, with properties calculated at the PBEsol level.

calculated formation energy = -0.219 eV per atom
energy above the lowest structure with this stoichiometry = 0.000 eV/atom
N(E_F) = 0.333 states/eV per atom
VASP energy = -11.3 eV per formula unit

a = 4.5634 Å, b = 4.5634 Å, c = 16.0053 Å
α = 90.00°, β = 90.00°, γ = 120.00°
Space group R-3m (No. 166, hexagonal axes)
Inequivalent atoms, fractional coordinates:
Sr: 0.0000 0.0000 0.0000 (multiplicity 3)
Li: 0.0000 0.0000 0.5000 (multiplicity 3)
Ag: 0.0000 0.0000 0.2013 (multiplicity 6)

No. 26
Below is a relaxed Sr2LiAg crystal, with properties calculated at the PBEsol level.

calculated formation energy = -0.061 eV per atom
energy above the lowest structure with this stoichiometry = 0.072 eV/atom
N(E_F) = 0.771 states/eV per atom
VASP energy = -9.2 eV per formula unit

a = 13.185 Å, b = 3.883 Å, c = 5.481 Å
α = 90.00°, β = 114.54°, γ = 90.00°
Space group Cm (No. 8)
Inequivalent atoms, fractional coordinates:
Sr: 0.000 0.000 0.000 (multiplicity 2)
Sr: 0.207 0.000 0.707 (multiplicity 2)
Li: 0.397 0.000 0.397 (multiplicity 2)
Ag: 0.234 0.500 0.233 (multiplicity 2)

No. 27
Below is a relaxed Sr2LiAg crystal, with properties calculated at the PBEsol level.

calculated formation energy = -0.065 eV per atom
energy above the lowest structure with this stoichiometry = 0.069 eV/atom
N(E_F) = 0.878 states/eV per atom
VASP energy = -9.2 eV per formula unit

a = 3.820 Å, b = 3.820 Å, c = 8.583 Å
α = 90.00°, β = 90.00°, γ = 90.00°
Space group P4mm (No. 99)
Inequivalent atoms, fractional coordinates:
Sr: 0.000 0.000 0.000 (multiplicity 1)
Sr: 0.500 0.500 0.382 (multiplicity 1)
Li: 0.500 0.500 0.737 (multiplicity 1)
Ag: 0.000 0.000 0.617 (multiplicity 1)

No. 28
Below is a relaxed Sr2LiAg crystal, with properties calculated at the PBEsol level.

calculated formation energy = -0.103 eV per atom
energy above the lowest structure with this stoichiometry = 0.030 eV/atom
N(E_F) = 0.841 states/eV per atom
VASP energy = -9.4 eV per formula unit

a = 3.950 Å, b = 3.950 Å, c = 8.163 Å
α = 90.00°, β = 90.00°, γ = 90.00°
Space group P4/mmm (No. 123)
Inequivalent atoms, fractional coordinates:
Sr: 0.000 0.000 0.225 (multiplicity 2)
Li: 0.500 0.500 0.500 (multiplicity 1)
Ag: 0.500 0.500 0.000 (multiplicity 1)

No. 29
Below is a relaxed SrLi2Ag2 crystal, with properties calculated at the PBEsol level.

calculated formation energy = -0.115 eV per atom
energy above the lowest structure with this stoichiometry = 0.059 eV/atom
N(E_F) = 0.419 states/eV per atom
VASP energy = -13.0 eV per formula unit

a = 7.840 Å, b = 7.840 Å, c = 3.289 Å
α = 90.00°, β = 90.00°, γ = 90.00°
Space group P4/mbm (No. 127)
Inequivalent atoms, fractional coordinates:
Sr: 0.000 0.000 0.000 (multiplicity 2)
Li: 0.119 0.381 0.000 (multiplicity 4)
Ag: 0.169 0.669 0.500 (multiplicity 4)